1.
A geometry-optimized AlHgOs2 structure, computed with GGA-PBEsol.

Cell lengths 2.868, 4.542, 4.746 Å; angles 90.00, 90.00, 90.00 degrees
Space group Pmmm (No. 47)
Symmetry-distinct sites (fractional):
Al 0.000 0.000 0.000
Hg 0.500 0.000 0.500
Os 0.000 0.500 0.500
Os 0.500 0.500 0.000

Energy of formation ... 523 meV per atom
Size of the total moment ... 0.00 μB/f.u.
ΔE to the lowest computed polymorph ... 0.1341 eV/atom


2.
A geometry-optimized BaCaAsRh2 structure, computed with GGA-PBEsol.

Cell lengths 4.855, 4.855, 5.352 Å; angles 90.00, 90.00, 90.00 degrees
Space group P4/mmm (No. 123)
Symmetry-distinct sites (fractional):
Ba 0.000 0.000 0.000
Ca 0.500 0.500 0.500
As 0.500 0.500 0.000
Rh 0.000 0.500 0.500

Energy of formation ... 566 meV per atom
Size of the total moment ... 0.00 μB/f.u.


3.
A geometry-optimized RhSe2Br structure, computed with GGA-PBEsol.

Cell lengths 2.979, 2.979, 9.233 Å; angles 90.00, 90.00, 90.00 degrees
Space group P4/mmm (No. 123)
Symmetry-distinct sites (fractional):
Rh 0.000 0.000 0.000
Se 0.500 0.500 0.170
Br 0.000 0.000 0.500

Size of the total moment ... 0.00 μB/f.u.
Formation energy without anion corrections ... 0.004 eV/atom
ΔE to the lowest computed polymorph ... 0.3336 eV/atom


4.
A geometry-optimized CdTcNi structure, computed with GGA-PBEsol.

Cell lengths 4.3882, 4.3882, 2.5848 Å; angles 90.00, 90.00, 120.00 degrees
Space group P3m1 (No. 156)
Symmetry-distinct sites (fractional):
Cd 0.0000 0.0000 0.0000
Tc 0.3333 0.6667 0.4743
Ni 0.6667 0.3333 0.9257

Energy of formation ... 473 meV per atom
Size of the total moment ... 0.93 μB/f.u.
ΔE to the lowest computed polymorph ... 0.3003 eV/atom


5.
A geometry-optimized Y2ZnRu structure, computed with GGA-PBEsol.

Cell lengths 4.264, 3.824, 10.426 Å; angles 90.00, 90.00, 90.00 degrees
Space group Amm2 (No. 38)
Symmetry-distinct sites (fractional):
Y 0.000 0.000 0.000
Y 0.500 0.000 0.283
Zn 0.500 0.000 0.573
Ru 0.000 0.000 0.716

Energy of formation ... -300 meV per atom
Size of the total moment ... 0.00 μB/f.u.


6.
A geometry-optimized AsPbF7 structure, computed with GGA-PBEsol.

Cell lengths 4.670, 7.208, 7.513 Å; angles 105.54, 99.19, 91.11 degrees
Space group P-1 (No. 2)
Symmetry-distinct sites (fractional):
As 0.155 0.310 0.211
Pb 0.300 0.154 0.696
F 0.007 0.526 0.314
F 0.049 0.703 0.011
F 0.129 0.822 0.739
F 0.223 0.921 0.413
F 0.307 0.094 0.108
F 0.360 0.313 0.431
F 0.436 0.444 0.162

Size of the total moment ... 0.00 μB/f.u.
Formation energy without anion corrections ... -2.245 eV/atom


Q: size of the total moment of number 2 (BaCaAsRh2)?
A: 0.00 μB/f.u.


Q: Number 4 is which compound?
A: CdTcNi